# 1
Compound: LaYF2
Source: the Alexandria database
Functional: PBE
Structure: relaxed

Structure (extended XYZ):
```
4
Lattice="1.787 1.032 7.945 -1.787 1.032 7.945 0.000 -2.063 7.945" Properties=species:S:1:pos:R:3 pbc="T T T"
La 0.000 0.000 0.000
Y 0.000 0.000 11.917
F 0.000 0.000 9.697
F 0.000 0.000 14.138
```

- E above lowest polymorph (meV/atom) = 228
- ΔE_f (raw) (eV/atom) = -2.3837

***

# 2
Compound: AgBF5
Source: the Alexandria database
Functional: PBE
Structure: relaxed

Structure (extended XYZ):
```
14
Lattice="6.823 0.000 0.000 0.000 6.823 0.000 0.000 0.000 4.113" Properties=species:S:1:pos:R:3 pbc="T T T"
Ag 1.706 1.706 0.729
Ag 5.117 5.117 3.384
B 1.706 5.117 0.000
B 5.117 1.706 0.000
F 0.627 5.546 3.298
F 1.276 4.038 0.815
F 1.706 1.706 2.787
F 2.135 6.196 0.815
F 2.785 4.688 3.298
F 4.038 2.135 0.815
F 4.688 0.627 3.298
F 5.117 5.117 1.326
F 5.546 2.785 3.298
F 6.196 1.276 0.815
```

- E above lowest polymorph (meV/atom) = 0
- ΔE_f (raw) (eV/atom) = -2.1233

***

# 3
Compound: TlCdF3
Source: the Alexandria database
Functional: PBE
Structure: relaxed

Structure (extended XYZ):
```
10
Lattice="3.090 1.784 6.011 -3.090 1.784 6.011 0.000 -3.568 6.011" Properties=species:S:1:pos:R:3 pbc="T T T"
Tl 0.000 0.000 2.402
Tl 0.000 0.000 15.632
Cd 0.000 0.000 6.154
Cd 0.000 0.000 11.881
F -1.270 -1.515 7.259
F -1.947 0.342 10.775
F -0.677 1.857 7.259
F 0.677 -1.857 10.775
F 1.947 -0.342 7.259
F 1.270 1.515 10.776
```

- ΔE_f (raw) (eV/atom) = -2.0335

***

# 4
Compound: Na2NdH6
Source: the Alexandria database
Functional: PBE
Structure: relaxed

Structure (extended XYZ):
```
9
Lattice="0.000 4.090 4.090 4.090 0.000 4.090 4.090 4.090 0.000" Properties=species:S:1:pos:R:3 pbc="T T T"
Na 2.045 2.045 2.045
Na 6.136 6.136 6.136
Nd 0.000 0.000 0.000
H 4.090 4.090 2.229
H 4.090 2.229 4.090
H 5.952 4.090 4.090
H 2.229 4.090 4.090
H 4.090 5.952 4.090
H 4.090 4.090 5.952
```

- electronic total energy (eV per atom) = -2.723

***

| no. | ρ (kg/m³) |
| --- | --- |
| 1 | 5024 |
| 2 | 3707 |
| 3 | 6244 |
| 4 | 2381 |